The following is a PBE-GGA calculation of a relaxed structure of Ag2TeAuSe, from Alexandria via LeMat-Bulk.

```
Ag2TeAuSe
1.0
5.0472 0.0000 0.0000
0.0000 5.0472 0.0000
0.0000 0.0000 5.0846
Ag Te Au Se
2 1 1 1
direct
0.0000 0.5000 0.0000
0.5000 0.0000 0.0000
0.0000 0.0000 0.5000
0.5000 0.5000 0.5000
0.5000 0.5000 0.0000
```

Output
Space-group type: P4/mmm
Crystal system: tetragonal
Raw formation energy in eV/atom: 0.3276

***

The following is a PBE-GGA calculation of a relaxed structure of TlAgAuSe2, from Alexandria via LeMat-Bulk.

```
TlAgAuSe2
1.0
7.1318 0.0000 0.0000
0.0000 4.8353 0.0000
-0.0132 0.0000 7.6146
Tl Ag Au Se
2 2 2 4
direct
0.0000 0.0013 0.2500
0.0000 0.9987 0.7500
0.5000 0.5000 0.2500
0.5000 0.5000 0.7500
0.5000 0.0000 0.0000
0.5000 0.0000 0.5000
0.2415 0.3372 0.9997
0.2415 0.6627 0.4997
0.7585 0.3372 0.5003
0.7585 0.6627 0.0003
```

Output
Space-group type: P2/c
Crystal system: monoclinic
Raw formation energy in eV/atom: -0.1656

***

The following is a PBE-GGA calculation of a relaxed structure of TlAgAuSe, from Alexandria via LeMat-Bulk.

```
TlAgAuSe
1.0
4.0046 0.0000 0.0000
0.0000 4.0046 0.0000
0.0000 0.0000 12.0778
Tl Ag Au Se
2 2 2 2
direct
0.2500 0.2500 0.2172
0.7500 0.7500 0.7828
0.2500 0.7500 0.5000
0.7500 0.2500 0.5000
0.2500 0.7500 0.0000
0.7500 0.2500 0.0000
0.2500 0.2500 0.6596
0.7500 0.7500 0.3404
```

Output
Space-group type: P4/nmm
Crystal system: tetragonal
Raw formation energy in eV/atom: -0.0769